[1]
This record from Alexandria describes a geometry-optimized Pr2Ge7Rh12 structure. The functional is PBE-GGA. Values from VASP.

The structure in Quantum ESPRESSO input format:
```
&SYSTEM
  ibrav = 0, nat = 21, ntyp = 3
/
ATOMIC_SPECIES
Pr 140.91 Pr.upf
Ge 72.64 Ge.upf
Rh 102.91 Rh.upf
CELL_PARAMETERS angstrom
10.002 0.000 0.000
-5.001 8.662 0.000
0.000 0.000 3.949
ATOMIC_POSITIONS angstrom
Pr 0.000 0.000 0.000
Pr 0.000 5.774 1.975
Ge -2.445 5.351 0.000
Ge 2.455 0.358 1.975
Ge 1.589 3.868 0.000
Ge 0.856 8.104 0.000
Ge 5.001 2.887 0.000
Ge 4.083 6.357 1.975
Ge 8.464 1.947 1.975
Rh -3.379 6.687 1.975
Rh -0.877 3.430 0.000
Rh 0.900 2.392 1.975
Rh -1.592 7.706 0.000
Rh 2.878 1.803 0.000
Rh 4.895 0.812 1.975
Rh 3.257 4.016 1.975
Rh 2.469 6.188 0.000
Rh 2.479 8.245 1.975
Rh 7.002 1.591 0.000
Rh 5.123 5.268 0.000
Rh 6.850 3.833 1.975
```

Total magnetic moment = 0.0 Bohr magnetons per cell
ΔH_f (0 K) = -0.70 eV per atom
Space group = P-6 (174)

[2]
This record from Alexandria describes a geometry-optimized Pr3Ge3Rh2 structure. The functional is PBE-GGA. Values from VASP.

The structure in Quantum ESPRESSO input format:
```
&SYSTEM
  ibrav = 0, nat = 16, ntyp = 3
/
ATOMIC_SPECIES
Pr 140.91 Pr.upf
Ge 72.64 Ge.upf
Rh 102.91 Rh.upf
CELL_PARAMETERS angstrom
2.197 -5.496 0.000
2.197 5.496 0.000
0.000 0.000 14.776
ATOMIC_POSITIONS angstrom
Pr 2.197 4.591 9.010
Pr 2.197 4.591 13.155
Pr 2.197 1.553 11.082
Pr 2.197 -1.553 3.694
Pr 2.197 -4.591 1.622
Pr 2.197 -4.591 5.766
Ge 2.197 1.778 3.694
Ge 2.197 1.421 7.920
Ge 2.197 1.421 14.244
Ge 2.197 -1.421 0.532
Ge 2.197 -1.421 6.856
Ge 2.197 -1.778 11.082
Rh 2.197 3.260 1.477
Rh 2.197 3.260 5.911
Rh 2.197 -3.260 8.865
Rh 2.197 -3.260 13.299
```

Total magnetic moment = 0.0 Bohr magnetons per cell
Energy above the lowest structure with this stoichiometry = 0 meV per atom
ΔH_f (0 K) = -0.85 eV per atom
Space group = Cmcm (63)

[3]
This record from Alexandria describes a geometry-optimized PrGe3Rh3 structure. The functional is PBE-GGA. Values from VASP.

The structure in Quantum ESPRESSO input format:
```
&SYSTEM
  ibrav = 0, nat = 14, ntyp = 3
/
ATOMIC_SPECIES
Pr 140.91 Pr.upf
Ge 72.64 Ge.upf
Rh 102.91 Rh.upf
CELL_PARAMETERS angstrom
8.790 0.000 0.000
-4.395 7.613 0.000
0.000 0.000 4.389
ATOMIC_POSITIONS angstrom
Pr 0.000 5.075 1.097
Pr 4.395 2.538 3.292
Ge -2.615 5.440 3.292
Ge 0.991 2.628 3.292
Ge 2.772 0.456 1.097
Ge 1.623 7.157 3.292
Ge 3.404 4.984 1.097
Ge 7.010 2.173 1.097
Rh -1.394 3.221 3.292
Rh -0.908 7.210 3.292
Rh 2.092 2.818 1.097
Rh 2.303 4.794 3.292
Rh 5.303 0.403 1.097
Rh 5.790 4.391 1.097
```

Total magnetic moment = 0.0 Bohr magnetons per cell
Energy above the lowest structure with this stoichiometry = 41 meV per atom
ΔH_f (0 K) = -0.55 eV per atom
Space group = P6_3/m (176)

[4]
This record from Alexandria describes a geometry-optimized Pr2GeRh structure. The functional is PBE-GGA. Values from VASP.

The structure in Quantum ESPRESSO input format:
```
&SYSTEM
  ibrav = 0, nat = 4, ntyp = 3
/
ATOMIC_SPECIES
Pr 140.91 Pr.upf
Ge 72.64 Ge.upf
Rh 102.91 Rh.upf
CELL_PARAMETERS angstrom
4.980 0.000 0.000
0.000 4.980 0.000
0.000 0.000 3.872
ATOMIC_POSITIONS angstrom
Pr 0.000 2.490 0.000
Pr 2.490 0.000 0.000
Ge 0.000 0.000 1.936
Rh 2.490 2.490 1.936
```

Total magnetic moment = 0.0 Bohr magnetons per cell
ΔH_f (0 K) = -0.60 eV per atom
Space group = P4/mmm (123)

[5]
This record from Alexandria describes a geometry-optimized PrGe2Rh structure. The functional is PBE-GGA. Values from VASP.

The structure in Quantum ESPRESSO input format:
```
&SYSTEM
  ibrav = 0, nat = 16, ntyp = 3
/
ATOMIC_SPECIES
Pr 140.91 Pr.upf
Ge 72.64 Ge.upf
Rh 102.91 Rh.upf
CELL_PARAMETERS angstrom
7.169 0.000 0.000
0.000 4.318 0.000
0.000 0.000 10.460
ATOMIC_POSITIONS angstrom
Pr 1.166 1.079 1.367
Pr 2.418 3.238 6.597
Pr 4.750 1.079 3.863
Pr 6.003 3.238 9.093
Ge 1.005 1.079 8.633
Ge 1.370 1.079 4.471
Ge 2.214 3.238 9.701
Ge 2.579 3.238 3.403
Ge 4.589 1.079 7.057
Ge 4.955 1.079 0.759
Ge 5.798 3.238 5.989
Ge 6.164 3.238 1.827
Rh 0.073 3.238 4.026
Rh 3.511 1.079 9.255
Rh 3.657 3.238 1.204
Rh 7.096 1.079 6.434
```

Total magnetic moment = 0.0 Bohr magnetons per cell
ΔH_f (0 K) = -0.82 eV per atom
Space group = Pnma (62)

[6]
This record from Alexandria describes a geometry-optimized Pr3Ge8Rh3 structure. The functional is PBE-GGA. Values from VASP.

The structure in Quantum ESPRESSO input format:
```
&SYSTEM
  ibrav = 0, nat = 14, ntyp = 3
/
ATOMIC_SPECIES
Pr 140.91 Pr.upf
Ge 72.64 Ge.upf
Rh 102.91 Rh.upf
CELL_PARAMETERS angstrom
-2.123 5.279 6.220
2.123 -5.279 6.220
2.123 5.279 -6.220
ATOMIC_POSITIONS angstrom
Pr 0.000 0.000 0.000
Pr 0.000 0.000 3.926
Pr 0.000 0.000 8.514
Ge 2.123 -1.381 1.965
Ge 2.123 -2.141 4.731
Ge 2.123 1.381 1.965
Ge 0.000 3.138 1.489
Ge 2.123 2.141 4.731
Ge 0.000 3.898 4.255
Ge 0.000 7.420 1.489
Ge 0.000 6.660 4.255
Rh 2.123 3.045 0.000
Rh 0.000 5.279 0.000
Rh 0.000 2.235 6.220
```

Total magnetic moment = 0.0 Bohr magnetons per cell
ΔH_f (0 K) = -0.56 eV per atom
Space group = Immm (71)

[7]
This record from Alexandria describes a geometry-optimized PrGeRh structure. The functional is PBE-GGA. Values from VASP.

The structure in Quantum ESPRESSO input format:
```
&SYSTEM
  ibrav = 0, nat = 3, ntyp = 3
/
ATOMIC_SPECIES
Pr 140.91 Pr.upf
Ge 72.64 Ge.upf
Rh 102.91 Rh.upf
CELL_PARAMETERS angstrom
4.345 0.000 0.000
-2.172 3.763 0.000
0.000 0.000 4.005
ATOMIC_POSITIONS angstrom
Pr 0.000 0.000 0.000
Ge 2.172 1.254 2.002
Rh 0.000 2.509 2.002
```

Total magnetic moment = 0.0 Bohr magnetons per cell
ΔH_f (0 K) = -0.82 eV per atom
Space group = P-6m2 (187)

[8]
This record from Alexandria describes a geometry-optimized Pr3Ge2Rh7 structure. The functional is PBE-GGA. Values from VASP.

The structure in Quantum ESPRESSO input format:
```
&SYSTEM
  ibrav = 0, nat = 12, ntyp = 3
/
ATOMIC_SPECIES
Pr 140.91 Pr.upf
Ge 72.64 Ge.upf
Rh 102.91 Rh.upf
CELL_PARAMETERS angstrom
2.790 1.611 8.191
-2.790 1.611 8.191
0.000 -3.221 8.191
ATOMIC_POSITIONS angstrom
Pr 0.000 0.000 0.000
Pr 0.000 0.000 3.469
Pr 0.000 0.000 21.105
Ge 0.000 0.000 8.192
Ge 0.000 0.000 16.383
Rh -1.388 -0.802 10.100
Rh 0.000 -1.603 14.474
Rh -1.388 0.802 14.474
Rh 0.000 0.000 12.287
Rh 1.388 -0.802 10.100
Rh 0.000 1.603 10.100
Rh 1.388 0.802 14.474
```

Total magnetic moment = 0.0 Bohr magnetons per cell
ΔH_f (0 K) = -0.71 eV per atom
Space group = R-3m (166)

[9]
This record from Alexandria describes a geometry-optimized PrGe2Rh6 structure. The functional is PBE-GGA. Values from VASP.

The structure in Quantum ESPRESSO input format:
```
&SYSTEM
  ibrav = 0, nat = 18, ntyp = 3
/
ATOMIC_SPECIES
Pr 140.91 Pr.upf
Ge 72.64 Ge.upf
Rh 102.91 Rh.upf
CELL_PARAMETERS angstrom
0.000 5.566 5.566
5.566 0.000 5.566
5.566 5.566 0.000
ATOMIC_POSITIONS angstrom
Pr 1.391 1.391 1.391
Pr 9.740 9.740 9.740
Ge 5.566 2.783 2.783
Ge 2.783 5.566 2.783
Ge 2.783 2.783 5.566
Ge 5.566 5.566 5.566
Rh 4.174 4.174 1.377
Rh 4.174 1.377 4.174
Rh 6.972 4.174 4.174
Rh 6.957 6.957 4.159
Rh 6.957 4.159 6.957
Rh 9.755 6.957 6.957
Rh 1.377 4.174 4.174
Rh 4.174 6.972 4.174
Rh 4.174 4.174 6.972
Rh 4.159 6.957 6.957
Rh 6.957 9.755 6.957
Rh 6.957 6.957 9.755
```

Total magnetic moment = 0.0 Bohr magnetons per cell
ΔH_f (0 K) = 0.00 eV per atom
Space group = Fd-3m (227)

[10]
This record from Alexandria describes a geometry-optimized Pr2Ge5Rh3 structure. The functional is PBE-GGA. Values from VASP.

The structure in Quantum ESPRESSO input format:
```
&SYSTEM
  ibrav = 0, nat = 20, ntyp = 3
/
ATOMIC_SPECIES
Pr 140.91 Pr.upf
Ge 72.64 Ge.upf
Rh 102.91 Rh.upf
CELL_PARAMETERS angstrom
-5.093 6.069 3.052
5.093 -6.069 3.052
5.093 6.069 -3.052
ATOMIC_POSITIONS angstrom
Pr 2.358 1.617 0.000
Pr 2.358 -1.617 3.052
Pr 2.736 7.686 0.000
Pr 2.736 4.453 3.052
Ge 5.093 -2.715 1.526
Ge 6.716 1.212 0.000
Ge 0.000 0.000 1.526
Ge 1.622 4.857 0.000
Ge 5.093 2.715 1.526
Ge 0.000 3.354 1.526
Ge 3.471 1.212 3.052
Ge 0.000 0.000 4.578
Ge -1.622 4.857 3.052
Ge 0.000 8.785 1.526
Rh 4.004 -4.367 3.052
Rh 5.093 0.000 1.526
Rh 4.004 4.367 0.000
Rh 1.089 1.702 3.052
Rh 0.000 6.069 1.526
Rh 1.089 10.437 0.000
```

Total magnetic moment = 0.0 Bohr magnetons per cell
ΔH_f (0 K) = -0.82 eV per atom
Space group = Ibam (72)